This record from Alexandria describes a geometry-optimized AgO structure. The functional is PBE.

Geometry as extended XYZ:
```
4
Lattice="3.2988 -0.1140 -0.0968 0.1138 3.2988 -0.0968 0.1691 0.1578 5.5970" Properties=species:S:1:pos:R:3 pbc="T T T"
O 3.3407 -0.0742 1.3025
O 0.2410 3.4168 4.1010
Ag 0.1415 1.7283 2.7501
Ag 1.6494 -0.0570 -0.0484
```

As for the space group: No. 131. As for the electronic total energy: -3.9942 eV per atom. The calculation puts the total moment at 0.000 Bohr magnetons per cell. The calculation puts the formation energy (no corrections) at -0.09 eV per atom.